## NaCrCd2 (GGA-PBE)

Data for a relaxed NaCrCd2 crystal.

Results
Calculated formation energy in meV per atom: 281
M_tot in μB/atom: 1.081
Total DFT energy (no corrections) in eV per cell: -11.65

Lattice parameters (Å, degrees): 4.9473 4.9473 4.9473 60.00 60.00 60.00
Last column: nearest neighbours and their distance in Å.
Element x y z (fractional)
1 Cr 0.5000 0.5000 0.5000  8 Cd 3.03
2 Na 0.0000 0.0000 0.0000  8 Cd 3.03
3 Cd 0.2500 0.2500 0.2500  4 Cr 3.03, 4 Na 3.03
4 Cd 0.7500 0.7500 0.7500  4 Cr 3.03, 4 Na 3.03

---

## NaCrCd2 (GGA-PBE)

Data for a relaxed NaCrCd2 crystal.

Results
Calculated formation energy in meV per atom: 529
M_tot in μB/atom: 1.151
Total DFT energy (no corrections) in eV per cell: -21.31

Lattice parameters (Å, degrees): 4.3979 4.3979 10.7508 78.20 78.20 90.00
Last column: nearest neighbours and their distance in Å.
Element x y z (fractional)
1 Cr 0.0000 0.0000 0.0000  4 Cd 2.97, 4 Na 3.11
2 Cr 0.7500 0.2500 0.5000  4 Cd 2.97, 4 Na 3.11
3 Na 0.5000 0.5000 0.0000  4 Cd 3.04, 4 Cr 3.11
4 Na 0.2500 0.7500 0.5000  4 Cd 3.04, 4 Cr 3.11
5 Cd 0.6458 0.1250 0.2500  2 Cr 2.97, 4 Cd 2.98-3.24, 2 Na 3.04
6 Cd 0.1042 0.6250 0.2500  2 Cr 2.97, 4 Cd 2.98-3.24, 2 Na 3.04
7 Cd 0.3750 0.3542 0.7500  2 Cr 2.97, 4 Cd 2.98-3.24, 2 Na 3.04
8 Cd 0.8750 0.8958 0.7500  2 Cr 2.97, 4 Cd 2.98-3.24, 2 Na 3.04

---

## Na2CrCdNi (GGA-PBE)

Data for a relaxed Na2CrCdNi crystal.

Results
Calculated formation energy in meV per atom: 1174
M_tot in μB/atom: 0.961
Total DFT energy (no corrections) in eV per cell: -13.09

Lattice parameters (Å, degrees): 5.3794 5.2447 5.3794 90.00 90.00 90.00
Last column: nearest neighbours and their distance in Å.
Element x y z (fractional)
1 Ni 0.5000 0.5000 0.5000  8 Na 3.76, 4 Cr 3.80
2 Na 0.0000 0.0000 0.5000  2 Cd 2.69
3 Na 0.5000 0.0000 0.0000  2 Cd 2.69
4 Cr 0.0000 0.5000 0.0000  2 Cd 2.62
5 Cd 0.0000 0.0000 0.0000  2 Cr 2.62, 4 Na 2.69

---

## Na2CrCdNi (GGA-PBE)

Data for a relaxed Na2CrCdNi crystal.

Results
Calculated formation energy in meV per atom: 858
M_tot in μB/atom: 0.887
Total DFT energy (no corrections) in eV per cell: -14.67

Lattice parameters (Å, degrees): 5.6293 4.4714 5.6293 90.00 90.00 90.00
Last column: nearest neighbours and their distance in Å.
Element x y z (fractional)
1 Ni 0.0000 0.5000 0.0000  2 Cr 2.24
2 Na 0.0000 0.0000 0.5000  2 Cr 2.81
3 Na 0.5000 0.0000 0.0000  2 Cr 2.81
4 Cr 0.0000 0.0000 0.0000  2 Ni 2.24
5 Cd 0.5000 0.5000 0.5000  8 Na 3.59, 4 Ni 3.98

---

Distance to the lowest polymorph of the same formula / meV per atom: 0; 248; 316; 0